Record 1
# PBE Zn2SbBr8, relaxed
# total magnetic moment: 1.67 Bohr magnetons per cell
# uncorrected energy: -2.450 eV/atom
# D(E_F): 4.88 states/eV/cell
# formation energy without anion corrections: -0.6265 eV/atom
data_Zn2SbBr8
_cell_length_a 11.1901
_cell_length_b 11.8906
_cell_length_c 6.7180
_cell_angle_alpha 90.00
_cell_angle_beta 103.17
_cell_angle_gamma 90.00
_symmetry_space_group_name_H-M 'C 1 2/m 1'
_symmetry_Int_Tables_number 12
_symmetry_space_group_name_Hall '-C 2y'
loop_
_atom_site_label
_atom_site_type_symbol
_atom_site_fract_x
_atom_site_fract_y
_atom_site_fract_z
Zn1 Zn 0.2222 0.0000 0.1829
Sb1 Sb 0.0000 0.0000 0.5000
Br1 Br 0.0569 0.5000 0.7226
Br2 Br 0.1146 0.1601 0.2924
Br3 Br 0.2181 0.0000 0.8135

***

Record 2
# PBE ZnSb2Br, relaxed
# energy relative to the lowest polymorph listed for this composition: 429.9 meV/atom
# total magnetic moment: 0.00 Bohr magnetons per cell
# uncorrected energy: -2.526 eV/atom
# D(E_F): 7.32 states/eV/cell
# formation energy without anion corrections: 0.2716 eV/atom
data_ZnSb2Br
_cell_length_a 7.3138
_cell_length_b 7.3138
_cell_length_c 7.3138
_cell_angle_alpha 90.00
_cell_angle_beta 90.00
_cell_angle_gamma 90.00
_symmetry_space_group_name_H-M 'F m -3 m'
_symmetry_Int_Tables_number 225
_symmetry_space_group_name_Hall '-F 4 2 3'
loop_
_atom_site_label
_atom_site_type_symbol
_atom_site_fract_x
_atom_site_fract_y
_atom_site_fract_z
Zn1 Zn 0.0000 0.0000 0.0000
Sb1 Sb 0.2500 0.2500 0.2500
Br1 Br 0.0000 0.0000 0.5000

***

Record 3
# PBE ZnSb2Br, relaxed
# energy relative to the lowest polymorph listed for this composition: 217.1 meV/atom
# total magnetic moment: 0.00 Bohr magnetons per cell
# uncorrected energy: -2.739 eV/atom
# D(E_F): 4.17 states/eV/cell
# formation energy without anion corrections: 0.0588 eV/atom
data_ZnSb2Br
_cell_length_a 4.3607
_cell_length_b 5.5135
_cell_length_c 8.3742
_cell_angle_alpha 90.00
_cell_angle_beta 90.00
_cell_angle_gamma 90.00
_symmetry_space_group_name_H-M 'C m m m'
_symmetry_Int_Tables_number 65
_symmetry_space_group_name_Hall '-C 2 2'
loop_
_atom_site_label
_atom_site_type_symbol
_atom_site_fract_x
_atom_site_fract_y
_atom_site_fract_z
Zn1 Zn 0.0000 0.0000 0.0000
Sb1 Sb 0.0000 0.5000 0.2078
Br1 Br 0.0000 0.0000 0.5000

***

Record 4
# PBE ZnSbBr2, relaxed
# total magnetic moment: 0.00 Bohr magnetons per cell
# uncorrected energy: -2.003 eV/atom
# D(E_F): 2.84 states/eV/cell
# formation energy without anion corrections: 0.1827 eV/atom
data_ZnSbBr2
_cell_length_a 5.0052
_cell_length_b 5.0052
_cell_length_c 4.0829
_cell_angle_alpha 90.00
_cell_angle_beta 90.00
_cell_angle_gamma 90.00
_symmetry_space_group_name_H-M 'P 4/m m m'
_symmetry_Int_Tables_number 123
_symmetry_space_group_name_Hall '-P 4 2'
loop_
_atom_site_label
_atom_site_type_symbol
_atom_site_fract_x
_atom_site_fract_y
_atom_site_fract_z
Zn1 Zn 0.0000 0.0000 0.0000
Sb1 Sb 0.5000 0.5000 0.0000
Br1 Br 0.0000 0.5000 0.5000